The following is a PBE calculation of a relaxed HfPaMoRh crystal, from Alexandria via LeMat-Bulk.

Energy of formation from the pure elements in eV per atom: -0.37
Electronic total energy in eV for the cell shown: -156.423
Size of the total moment in μB per atom: 0.000

Cell and atoms, written as POSCAR:
```
HfPaMoRh
1.0
6.7551 0.0000 0.0000
0.0000 6.7551 0.0000
0.0000 0.0000 6.7551
Hf Pa Mo Rh
4 4 4 4
Direct
0.0000 0.0000 0.0000
0.0000 0.5000 0.5000
0.5000 0.0000 0.5000
0.5000 0.5000 0.0000
0.0000 0.0000 0.5000
0.0000 0.5000 0.0000
0.5000 0.0000 0.0000
0.5000 0.5000 0.5000
0.2500 0.2500 0.2500
0.2500 0.7500 0.7500
0.7500 0.2500 0.7500
0.7500 0.7500 0.2500
0.2500 0.2500 0.7500
0.2500 0.7500 0.2500
0.7500 0.2500 0.2500
0.7500 0.7500 0.7500
```

The following is a PBE calculation of a relaxed HfPaMoRu crystal, from Alexandria via LeMat-Bulk.

Energy of formation from the pure elements in eV per atom: -0.29
Electronic total energy in eV for the cell shown: -162.863
Size of the total moment in μB per atom: 0.000

Cell and atoms, written as POSCAR:
```
HfPaMoRu
1.0
6.7303 0.0000 0.0000
0.0000 6.7303 0.0000
0.0000 0.0000 6.7303
Hf Pa Mo Ru
4 4 4 4
Direct
0.0000 0.0000 0.0000
0.0000 0.5000 0.5000
0.5000 0.0000 0.5000
0.5000 0.5000 0.0000
0.0000 0.0000 0.5000
0.0000 0.5000 0.0000
0.5000 0.0000 0.0000
0.5000 0.5000 0.5000
0.2500 0.2500 0.7500
0.2500 0.7500 0.2500
0.7500 0.2500 0.2500
0.7500 0.7500 0.7500
0.2500 0.2500 0.2500
0.2500 0.7500 0.7500
0.7500 0.2500 0.7500
0.7500 0.7500 0.2500
```

The following is a PBE calculation of a relaxed HfPaTaMo crystal, from Alexandria via LeMat-Bulk.

Energy of formation from the pure elements in eV per atom: 0.05
Electronic total energy in eV for the cell shown: -167.772
Size of the total moment in μB per atom: 0.000

Cell and atoms, written as POSCAR:
```
HfPaTaMo
1.0
6.8464 0.0000 0.0000
0.0000 6.8464 0.0000
0.0000 0.0000 6.8464
Hf Pa Ta Mo
4 4 4 4
Direct
0.0000 0.0000 0.0000
0.0000 0.5000 0.5000
0.5000 0.0000 0.5000
0.5000 0.5000 0.0000
0.0000 0.0000 0.5000
0.0000 0.5000 0.0000
0.5000 0.0000 0.0000
0.5000 0.5000 0.5000
0.2500 0.2500 0.7500
0.2500 0.7500 0.2500
0.7500 0.2500 0.2500
0.7500 0.7500 0.7500
0.2500 0.2500 0.2500
0.2500 0.7500 0.7500
0.7500 0.2500 0.7500
0.7500 0.7500 0.2500
```

The following is a PBE calculation of a relaxed HfPaMoW crystal, from Alexandria via LeMat-Bulk.

Energy of formation from the pure elements in eV per atom: 0.05
Electronic total energy in eV for the cell shown: -172.121
Size of the total moment in μB per atom: 0.000

Cell and atoms, written as POSCAR:
```
HfPaMoW
1.0
6.7820 0.0000 0.0000
0.0000 6.7820 0.0000
0.0000 0.0000 6.7820
Hf Pa Mo W
4 4 4 4
Direct
0.0000 0.0000 0.0000
0.0000 0.5000 0.5000
0.5000 0.0000 0.5000
0.5000 0.5000 0.0000
0.0000 0.0000 0.5000
0.0000 0.5000 0.0000
0.5000 0.0000 0.0000
0.5000 0.5000 0.5000
0.2500 0.2500 0.7500
0.2500 0.7500 0.2500
0.7500 0.2500 0.2500
0.7500 0.7500 0.7500
0.2500 0.2500 0.2500
0.2500 0.7500 0.7500
0.7500 0.2500 0.7500
0.7500 0.7500 0.2500
```

Which value of size of the total moment does entry 3 give?
0.000 μB per atom

Number 3 is which compound?
HfPaTaMo

Copy entry 2 word for word.
The following is a PBE calculation of a relaxed HfPaMoRu crystal, from Alexandria via LeMat-Bulk.

Energy of formation from the pure elements in eV per atom: -0.29
Electronic total energy in eV for the cell shown: -162.863
Size of the total moment in μB per atom: 0.000

Cell and atoms, written as POSCAR:
```
HfPaMoRu
1.0
6.7303 0.0000 0.0000
0.0000 6.7303 0.0000
0.0000 0.0000 6.7303
Hf Pa Mo Ru
4 4 4 4
Direct
0.0000 0.0000 0.0000
0.0000 0.5000 0.5000
0.5000 0.0000 0.5000
0.5000 0.5000 0.0000
0.0000 0.0000 0.5000
0.0000 0.5000 0.0000
0.5000 0.0000 0.0000
0.5000 0.5000 0.5000
0.2500 0.2500 0.7500
0.2500 0.7500 0.2500
0.7500 0.2500 0.2500
0.7500 0.7500 0.7500
0.2500 0.2500 0.2500
0.2500 0.7500 0.7500
0.7500 0.2500 0.7500
0.7500 0.7500 0.2500
```

size of the total moment of number 4 (HfPaMoW)?
0.000 μB per atom